Computed, not measured: a relaxed structure of TlCr2In at the PBE level of DFT.

abc: 3.2435 4.3354 5.8503
angles: 90.00 90.00 90.00
Last column: nearest neighbours and their distance in Å.
Sites, in units of the cell vectors:
Tl1 0.5000 0.5000 0.7847  6 Cr 2.85-3.00
Cr1 0.0000 0.0000 0.9822  2 In 2.80-3.05, 4 Tl 2.94
Cr2 0.5000 0.5000 0.2727  2 Tl 2.85-3.00, 4 In 2.92, 4 Cr 3.20
In1 0.0000 0.0000 0.4604  6 Cr 2.80-3.05

Values from the calculation:
Energy of formation from the pure elements (eV/atom): 0.68
Calculated total energy (eV per atom): -5.408
Density (Mg/m³): 8.5
Energy relative to the lowest polymorph listed for this composition (meV per atom): 337.0

---

Computed, not measured: a relaxed structure of TlCrIn at the PBE level of DFT.

abc: 6.7458 6.7458 6.7458
angles: 151.69 151.69 40.47
Last column: nearest neighbours and their distance in Å.
Sites, in units of the cell vectors:
Tl1 0.3461 0.3461 0.0000  4 Cr 3.09, 4 Tl 3.30, 4 In 3.43
Cr1 0.0060 0.0060 0.0000  4 In 2.94, 4 Tl 3.09
In1 0.6479 0.6479 0.0000  4 Cr 2.94

Values from the calculation:
Energy of formation from the pure elements (eV/atom): 0.44
Calculated total energy (eV per atom): -4.465
Density (Mg/m³): 8.9
Energy relative to the lowest polymorph listed for this composition (meV per atom): 0.0

---

Computed, not measured: a relaxed structure of TlCr2In at the PBE level of DFT.

abc: 9.1316 9.1316 9.1316
angles: 20.57 20.57 20.57
Last column: nearest neighbours and their distance in Å.
Sites, in units of the cell vectors:
Cr1 0.9990 0.9990 0.9990  3 In 2.90, 3 Tl 2.94
Tl1 0.7500 0.7500 0.7500  6 Cr 2.94, 6 Tl 3.26
Cr2 0.5010 0.5010 0.5010  3 In 2.90, 3 Tl 2.94
In1 0.2500 0.2500 0.2500  6 Cr 2.90

Values from the calculation:
Energy of formation from the pure elements (eV/atom): 0.61
Calculated total energy (eV per atom): -5.476
Density (Mg/m³): 8.5
Energy relative to the lowest polymorph listed for this composition (meV per atom): 268.9

---

Computed, not measured: a relaxed structure of TlCr2In at the PBE level of DFT.

abc: 3.0866 3.0866 8.2007
angles: 90.00 90.00 90.00
Last column: nearest neighbours and their distance in Å.
Sites, in units of the cell vectors:
Cr1 0.5000 0.5000 0.2046  4 Cr 2.48
Tl1 0.5000 0.5000 0.7911  4 Tl 3.09, 5 Cr 3.11-3.39
In1 0.0000 0.0000 0.4433  5 Cr 2.93-3.14, 4 In 3.09
Cr2 0.0000 0.0000 0.0610  4 Cr 2.48

Values from the calculation:
Energy of formation from the pure elements (eV/atom): 0.37
Calculated total energy (eV per atom): -5.717
Density (Mg/m³): 9.0
Energy relative to the lowest polymorph listed for this composition (meV per atom): 28.3

---

Computed, not measured: a relaxed structure of TlCr2In at the PBE level of DFT.

abc: 4.5709 3.1445 5.4882
angles: 88.05 90.00 90.00
Last column: nearest neighbours and their distance in Å.
Sites, in units of the cell vectors:
Tl1 0.5000 0.7500 0.7500  4 Cr 2.98, 4 In 3.12-3.21, 2 Tl 3.14
Cr1 0.0000 0.6102 0.4136  1 Cr 1.97
Cr2 0.0000 0.8898 0.0864  1 Cr 1.97
In1 0.5000 0.2500 0.2500  4 Cr 2.72

Values from the calculation:
Energy of formation from the pure elements (eV/atom): 0.73
Calculated total energy (eV per atom): -5.359
Density (Mg/m³): 8.9
Energy relative to the lowest polymorph listed for this composition (meV per atom): 385.8

---

Computed, not measured: a relaxed structure of TlCr2In at the PBE level of DFT.

abc: 3.1906 3.7974 6.3972
angles: 90.00 90.00 90.00
Last column: nearest neighbours and their distance in Å.
Sites, in units of the cell vectors:
In1 0.5000 0.5000 0.2500  8 Cr 2.93, 2 In 3.19, 2 Tl 3.20
Tl1 0.5000 0.5000 0.7500  8 Cr 2.97, 2 Tl 3.19, 2 In 3.20
Cr1 0.0000 0.0000 0.0063  4 In 2.93, 4 Tl 2.97, 4 Cr 3.12-3.28
Cr2 0.0000 0.0000 0.4937  4 In 2.93, 4 Tl 2.97, 4 Cr 3.12-3.28

Values from the calculation:
Energy of formation from the pure elements (eV/atom): 0.55
Calculated total energy (eV per atom): -5.540
Density (Mg/m³): 9.1
Energy relative to the lowest polymorph listed for this composition (meV per atom): 204.8

---

Computed, not measured: a relaxed structure of TlCrIn4 at the PBE level of DFT.

abc: 6.1297 6.1297 6.1297
angles: 60.00 60.00 60.00
Last column: nearest neighbours and their distance in Å.
Sites, in units of the cell vectors:
In1 0.3746 0.3746 0.8761  6 In 3.06-3.07
In2 0.3746 0.3746 0.3746  6 In 3.06-3.07
Cr1 0.0000 0.0000 0.0000  12 In 3.59, 4 Tl 3.75
In3 0.3746 0.8761 0.3746  6 In 3.06-3.07
In4 0.8761 0.3746 0.3746  6 In 3.06-3.07
Tl1 0.7500 0.7500 0.7500  12 In 3.59, 4 Cr 3.75

Values from the calculation:
Energy of formation from the pure elements (eV/atom): 0.39
Calculated total energy (eV per atom): -3.437
Density (Mg/m³): 7.3

---

Computed, not measured: a relaxed structure of TlCr3In at the PBE level of DFT.

abc: 5.2395 5.2395 5.2395
angles: 90.00 90.00 90.00
Last column: nearest neighbours and their distance in Å.
Sites, in units of the cell vectors:
Cr1 0.5000 0.0000 0.0000  2 In 2.62
In1 0.0000 0.0000 0.0000  6 Cr 2.62
Cr2 0.0000 0.0000 0.5000  2 In 2.62
Tl1 0.5000 0.5000 0.5000  12 Cr 3.70
Cr3 0.0000 0.5000 0.0000  2 In 2.62

Values from the calculation:
Energy of formation from the pure elements (eV/atom): 1.36
Calculated total energy (eV per atom): -5.438
Density (Mg/m³): 5.5
Energy relative to the lowest polymorph listed for this composition (meV per atom): 0.0

---

Computed, not measured: a relaxed structure of TlCr2In at the PBE level of DFT.

abc: 4.9683 4.9683 4.9683
angles: 60.00 60.00 60.00
Last column: nearest neighbours and their distance in Å.
Sites, in units of the cell vectors:
Cr1 0.0000 0.0000 0.0000  4 Cr 3.04, 4 Tl 3.04
In1 0.5000 0.5000 0.5000  4 Cr 3.04, 4 Tl 3.04
Tl1 0.2500 0.2500 0.2500  4 Cr 3.04, 4 In 3.04
Cr2 0.7500 0.7500 0.7500  4 Cr 3.04, 4 In 3.04

Values from the calculation:
Energy of formation from the pure elements (eV/atom): 0.75
Calculated total energy (eV per atom): -5.336
Density (Mg/m³): 8.1
Energy relative to the lowest polymorph listed for this composition (meV per atom): 408.7

---

Computed, not measured: a relaxed structure of TlCr2In at the PBE level of DFT.

abc: 9.3325 9.3325 9.3325
angles: 19.21 19.21 19.21
Last column: nearest neighbours and their distance in Å.
Sites, in units of the cell vectors:
In1 0.5109 0.5109 0.5109  3 Cr 2.95, 6 In 3.11
Cr1 0.9849 0.9849 0.9849  3 Cr 2.35
Cr2 0.2629 0.2629 0.2629  3 Cr 2.35
Tl1 0.7413 0.7413 0.7413  3 Cr 3.05, 6 Tl 3.11, 3 In 3.35

Values from the calculation:
Energy of formation from the pure elements (eV/atom): 0.49
Calculated total energy (eV per atom): -5.594
Density (Mg/m³): 9.1
Energy relative to the lowest polymorph listed for this composition (meV per atom): 150.4

---

Computed, not measured: a relaxed structure of TlCr2In at the PBE level of DFT.

abc: 5.0273 7.0537 3.1499
angles: 63.30 90.11 124.11
Last column: nearest neighbours and their distance in Å.
Sites, in units of the cell vectors:
Cr1 0.0000 0.5000 0.5000  4 In 2.96-2.97, 4 Tl 2.96-2.97, 4 Cr 3.15
Cr2 0.0000 0.0000 0.0000  4 Tl 2.96-2.97, 4 In 2.96-2.97, 4 Cr 3.15
Tl1 0.5000 0.0000 0.5000  8 Cr 2.96-2.97, 2 Tl 3.15, 2 In 3.15
In1 0.5000 0.5000 0.0000  8 Cr 2.96-2.97, 2 In 3.15, 2 Tl 3.15

Values from the calculation:
Energy of formation from the pure elements (eV/atom): 0.55
Calculated total energy (eV per atom): -5.536
Density (Mg/m³): 9.0
Energy relative to the lowest polymorph listed for this composition (meV per atom): 208.8

---

Computed, not measured: a relaxed structure of TlCr2In at the PBE level of DFT.

abc: 7.5966 7.5966 6.2113
angles: 52.30 52.30 90.00
Last column: nearest neighbours and their distance in Å.
Sites, in units of the cell vectors:
Tl1 0.0000 0.0000 0.0000  4 Cr 2.81, 2 In 3.12
In1 0.2500 0.7500 0.5000  4 Cr 2.78
Cr1 0.6225 0.1250 0.2500  2 In 2.78, 2 Tl 2.81
In2 0.5000 0.5000 0.0000  4 Cr 2.78
Cr2 0.3750 0.3775 0.7500  2 In 2.78, 2 Tl 2.81
Cr3 0.1275 0.6250 0.2500  2 In 2.78, 2 Tl 2.81
Tl2 0.7500 0.2500 0.5000  4 Cr 2.81, 2 In 3.12
Cr4 0.8750 0.8725 0.7500  2 In 2.78, 2 Tl 2.81

Values from the calculation:
Energy of formation from the pure elements (eV/atom): 0.85
Calculated total energy (eV per atom): -5.233
Density (Mg/m³): 7.8
Energy relative to the lowest polymorph listed for this composition (meV per atom): 511.7

---

What did the twelfth record say?
Computed, not measured: a relaxed structure of TlCr2In at the PBE level of DFT.

abc: 7.5966 7.5966 6.2113
angles: 52.30 52.30 90.00
Last column: nearest neighbours and their distance in Å.
Sites, in units of the cell vectors:
Tl1 0.0000 0.0000 0.0000  4 Cr 2.81, 2 In 3.12
In1 0.2500 0.7500 0.5000  4 Cr 2.78
Cr1 0.6225 0.1250 0.2500  2 In 2.78, 2 Tl 2.81
In2 0.5000 0.5000 0.0000  4 Cr 2.78
Cr2 0.3750 0.3775 0.7500  2 In 2.78, 2 Tl 2.81
Cr3 0.1275 0.6250 0.2500  2 In 2.78, 2 Tl 2.81
Tl2 0.7500 0.2500 0.5000  4 Cr 2.81, 2 In 3.12
Cr4 0.8750 0.8725 0.7500  2 In 2.78, 2 Tl 2.81

Values from the calculation:
Energy of formation from the pure elements (eV/atom): 0.85
Calculated total energy (eV per atom): -5.233
Density (Mg/m³): 7.8
Energy relative to the lowest polymorph listed for this composition (meV per atom): 511.7